(1)
An optimized crystal structure of BaIn2P. Source: the Alexandria database, functional PBE.

Properties
Magnetic moment (Bohr magnetons per cell): 0.00
Space group: No. 122
E_tot (eV/atom): -3.552

a b c (Å): 8.6874 8.6874 6.9496
angles (deg): 51.32 51.32 90.00
Fractional coordinates of all 8 atoms:
In1 0.3750 0.4428 0.7500
P1 0.2500 0.7500 0.5000
In2 0.5572 0.1250 0.2500
P2 0.5000 0.5000 0.0000
Ba1 0.7500 0.2500 0.5000
In3 0.8750 0.8072 0.7500
In4 0.1928 0.6250 0.2500
Ba2 0.0000 0.0000 0.0000

(2)
An optimized crystal structure of Co2SeBr. Source: the Alexandria database, functional PBE.

Properties
Magnetic moment (Bohr magnetons per cell): 3.38
Energy relative to the lowest polymorph listed for this composition (meV/atom): 503
Formation energy from raw total energies (eV per formula unit): 1.8
Space group: No. 65

a b c (Å): 3.6746 3.6746 6.8108
angles (deg): 90.00 90.00 121.73
Site moments in Bohr magnetons follow the coordinates.
Fractional coordinates of all 4 atoms:
Br1 0.5000 0.5000 0.7500  0.03
Co1 0.0000 0.0000 0.4597  1.55
Co2 0.0000 0.0000 0.0403  1.55
Se1 0.5000 0.5000 0.2500  0.14

(3)
An optimized crystal structure of Pr2Ga3Cu5. Source: the Alexandria database, functional PBE.

Properties
Magnetic moment (Bohr magnetons per cell): 0.00
Energy relative to the lowest polymorph listed for this composition (meV/atom): 0
Space group: No. 15

a b c (Å): 6.0055 8.3728 8.3728
angles (deg): 90.69 68.75 68.75
Fractional coordinates of all 20 atoms:
Ga1 0.6175 0.5134 0.2494
Cu1 0.6427 0.9761 0.7420
Pr1 0.7367 0.1365 0.3886
Ga2 0.3825 0.4866 0.7506
Cu2 0.7500 0.2338 0.7662
Pr2 0.2367 0.3886 0.1365
Cu3 0.2500 0.4991 0.5009
Cu4 0.2500 0.7662 0.2338
Pr3 0.7633 0.6114 0.8635
Cu5 0.7500 0.7654 0.2346
Ga3 0.1175 0.2494 0.5134
Cu6 0.3573 0.0239 0.2580
Cu7 0.2500 0.2346 0.7654
Cu8 0.1427 0.7420 0.9761
Cu9 0.7500 0.5009 0.4991
Ga4 0.2500 0.0006 0.9994
Pr4 0.2633 0.8635 0.6114
Ga5 0.7500 0.9994 0.0006
Cu10 0.8573 0.2580 0.0239
Ga6 0.8825 0.7506 0.4866

(4)
An optimized crystal structure of SrOsW2. Source: the Alexandria database, functional PBE.

Properties
Magnetic moment (Bohr magnetons per cell): 0.00
Energy relative to the lowest polymorph listed for this composition (meV/atom): 708
Space group: No. 139

a b c (Å): 5.5465 5.5465 5.5465
angles (deg): 138.16 138.16 60.66
Fractional coordinates of all 4 atoms:
W1 0.0000 0.0000 0.0000
Os1 0.2500 0.7500 0.5000
W2 0.5000 0.5000 0.0000
Sr1 0.7500 0.2500 0.5000

(5)
An optimized crystal structure of Li4SiIr. Source: the Alexandria database, functional PBE.

Properties
Magnetic moment (Bohr magnetons per cell): 0.00
Energy relative to the lowest polymorph listed for this composition (meV/atom): 282
Formation energy from raw total energies (eV per formula unit): -0.3
Space group: No. 216

a b c (Å): 4.6389 4.6389 4.6389
angles (deg): 60.00 60.00 60.00
Fractional coordinates of all 6 atoms:
Li1 0.3733 0.3733 0.3733
Li2 0.3733 0.3733 0.8802
Ir1 0.0000 0.0000 0.0000
Si1 0.7500 0.7500 0.7500
Li3 0.8802 0.3733 0.3733
Li4 0.3733 0.8802 0.3733

(6)
An optimized crystal structure of LuGa2Bi. Source: the Alexandria database, functional PBE.

Properties
Magnetic moment (Bohr magnetons per cell): 0.00
Energy relative to the lowest polymorph listed for this composition (meV/atom): 205
Space group: No. 166

a b c (Å): 4.8449 4.8449 5.5991
angles (deg): 64.36 64.36 60.00
Fractional coordinates of all 4 atoms:
Ga1 0.7621 0.7621 0.7136
Ga2 0.2379 0.2379 0.2864
Bi1 0.0000 0.0000 0.0000
Lu1 0.5000 0.5000 0.5000

(7)
An optimized crystal structure of RbNbSeO5. Source: the Alexandria database, functional PBE.

Properties
Magnetic moment (Bohr magnetons per cell): 0.00
Formation energy from raw total energies (eV per formula unit): -12.9
Space group: No. 15

a b c (Å): 5.9992 5.9992 7.5795
angles (deg): 100.15 100.15 105.39
Fractional coordinates of all 16 atoms:
Nb1 0.0000 0.0000 0.5000
Rb1 0.3444 0.6556 0.2500
O1 0.6626 0.8171 0.9521
O2 0.8171 0.6626 0.4521
Se1 0.3176 0.6824 0.7500
O3 0.1106 0.6998 0.8816
O4 0.3002 0.8894 0.6184
O5 0.8894 0.3002 0.1184
O6 0.1829 0.3374 0.5479
O7 0.9406 0.0594 0.7500
O8 0.6998 0.1106 0.3816
O9 0.0594 0.9406 0.2500
Rb2 0.6556 0.3444 0.7500
O10 0.3374 0.1829 0.0479
Nb2 0.0000 0.0000 0.0000
Se2 0.6824 0.3176 0.2500

(8)
An optimized crystal structure of HfNbAg2Te. Source: the Alexandria database, functional PBE.

Properties
Magnetic moment (Bohr magnetons per cell): 0.00
Formation energy from raw total energies (eV per formula unit): 5.8
Space group: No. 123

a b c (Å): 5.2136 4.9838 5.2136
angles (deg): 90.00 90.00 90.00
Fractional coordinates of all 5 atoms:
Ag1 0.5000 0.0000 0.0000
Hf1 0.0000 0.5000 0.0000
Nb1 0.0000 0.0000 0.0000
Te1 0.5000 0.5000 0.5000
Ag2 0.0000 0.0000 0.5000